# PBE Np2ScCo9, optimized geometry
data_Np2ScCo9
_symmetry_space_group_name_H-M 'R -3 m'
_symmetry_Int_Tables_number 166
_symmetry_space_group_name_Hall '-R 3 2"'
_cell_length_a 4.8030
_cell_length_b 4.8030
_cell_length_c 24.4591
_cell_angle_alpha 90.00
_cell_angle_beta 90.00
_cell_angle_gamma 120.00
loop_
_atom_site_label
_atom_site_type_symbol
_atom_site_fract_x
_atom_site_fract_y
_atom_site_fract_z
Np1 Np 0.0000 0.0000 0.1398
Sc1 Sc 0.0000 0.0000 0.0000
Co1 Co 0.0000 0.0000 0.3329
Co2 Co 0.0000 0.0000 0.5000
Co3 Co 0.0009 0.5004 0.0811
# E_form (meV per atom): -117